No. 1
# ZrGe2O

An optimized crystal structure of ZrGe2O (PBE-GGA, Alexandria via LeMat-Bulk).

a b c (Å): 5.6636 5.6636 5.6636
angles (deg): 112.55 112.55 103.48
Fractional coordinates of all 8 atoms:
Zr1 0.0000 0.0000 0.0000
Zr2 0.7500 0.2500 0.5000
Ge1 0.2096 0.6250 0.0846
Ge2 0.3750 0.4596 0.5846
Ge3 0.5404 0.1250 0.9154
Ge4 0.8750 0.7904 0.4154
O1 0.2500 0.7500 0.5000
O2 0.5000 0.5000 0.0000

crystal system = tetragonal
total magnetic moment = 0.00 μB/atom
calculated volume = 17.3 A^3/atom
formation energy from raw total energies = -0.340 eV per atom
raw total energy = -6.03 eV/atom
mass density = 6.05 g/cm³
density of states at the Fermi level = 2.6 states/eV/f.u.


No. 2
# ZrGe3O

An optimized crystal structure of ZrGe3O (PBE-GGA, Alexandria via LeMat-Bulk).

a b c (Å): 4.3656 4.3656 4.3656
angles (deg): 90.00 90.00 90.00
Fractional coordinates of all 5 atoms:
Zr1 0.0000 0.0000 0.0000
Ge1 0.0000 0.5000 0.5000
Ge2 0.5000 0.0000 0.5000
Ge3 0.5000 0.5000 0.0000
O1 0.5000 0.5000 0.5000

relative energy among the computed polymorphs = 0.000 eV per atom
crystal system = cubic
total magnetic moment = 0.00 μB/atom
calculated volume = 16.6 A^3/atom
formation energy from raw total energies = -0.292 eV per atom
raw total energy = -5.76 eV/atom
mass density = 6.49 g/cm³
density of states at the Fermi level = 2.5 states/eV/f.u.


No. 3
# ZrGeO

An optimized crystal structure of ZrGeO (PBE-GGA, Alexandria via LeMat-Bulk).

a b c (Å): 8.5901 8.5901 4.0367
angles (deg): 90.00 90.00 158.62
Fractional coordinates of all 6 atoms:
Zr1 0.1808 0.8192 0.7500
Zr2 0.8192 0.1808 0.2500
Ge1 0.4554 0.5446 0.2500
Ge2 0.5446 0.4554 0.7500
O1 0.2172 0.7828 0.2500
O2 0.7828 0.2172 0.7500

crystal system = orthorhombic
total magnetic moment = 0.00 μB/atom
calculated volume = 18.1 A^3/atom
formation energy from raw total energies = -1.635 eV per atom
raw total energy = -7.68 eV/atom
mass density = 5.50 g/cm³
density of states at the Fermi level = 0.5 states/eV/f.u.


No. 4
# Zr2Ge2O

An optimized crystal structure of Zr2Ge2O (PBE-GGA, Alexandria via LeMat-Bulk).

a b c (Å): 6.0945 6.0945 4.6844
angles (deg): 90.00 90.00 90.00
Fractional coordinates of all 10 atoms:
Zr1 0.1776 0.3224 0.0000
Zr2 0.3224 0.8224 0.0000
Zr3 0.6776 0.1776 0.0000
Zr4 0.8224 0.6776 0.0000
Ge1 0.1515 0.6515 0.5000
Ge2 0.3485 0.1515 0.5000
Ge3 0.6515 0.8485 0.5000
Ge4 0.8485 0.3485 0.5000
O1 0.0000 0.0000 0.0000
O2 0.5000 0.5000 0.0000

relative energy among the computed polymorphs = 0.000 eV per atom
crystal system = tetragonal
total magnetic moment = 0.00 μB/atom
calculated volume = 17.4 A^3/atom
formation energy from raw total energies = -1.125 eV per atom
raw total energy = -7.38 eV/atom
mass density = 6.56 g/cm³
density of states at the Fermi level = 1.4 states/eV/f.u.


No. 5
# Zr4GeO

An optimized crystal structure of Zr4GeO (PBE-GGA, Alexandria via LeMat-Bulk).

a b c (Å): 6.8313 6.8313 6.8313
angles (deg): 107.00 107.00 114.54
Fractional coordinates of all 12 atoms:
Zr1 0.1241 0.4354 0.6887
Zr2 0.1854 0.3741 0.1887
Zr3 0.1854 0.9967 0.8113
Zr4 0.2900 0.0000 0.2900
Zr5 0.7100 0.0000 0.7100
Zr6 0.7467 0.4354 0.3113
Zr7 0.7500 0.5400 0.7900
Zr8 0.7500 0.9600 0.2100
Ge1 0.2313 0.7313 0.5000
Ge2 0.4813 0.4813 0.0000
O1 0.7006 0.2006 0.5000
O2 0.9506 0.9506 0.0000

crystal system = tetragonal
total magnetic moment = 0.00 μB/atom
calculated volume = 20.3 A^3/atom
formation energy from raw total energies = -0.902 eV per atom
raw total energy = -8.20 eV/atom
mass density = 6.17 g/cm³
density of states at the Fermi level = 1.6 states/eV/f.u.


No. 6
# Zr3GeO

An optimized crystal structure of Zr3GeO (PBE-GGA, Alexandria via LeMat-Bulk).

a b c (Å): 4.4375 4.4375 4.4375
angles (deg): 90.00 90.00 90.00
Fractional coordinates of all 5 atoms:
Zr1 0.0000 0.0000 0.5000
Zr2 0.0000 0.5000 0.0000
Zr3 0.5000 0.0000 0.0000
Ge1 0.5000 0.5000 0.5000
O1 0.0000 0.0000 0.0000

relative energy among the computed polymorphs = 0.000 eV per atom
crystal system = cubic
total magnetic moment = 0.00 μB/atom
calculated volume = 17.5 A^3/atom
formation energy from raw total energies = -1.125 eV per atom
raw total energy = -8.17 eV/atom
mass density = 6.89 g/cm³
density of states at the Fermi level = 3.2 states/eV/f.u.